First-principles (GGA-PBE) data for a geometry-optimized TmTlGeSe3 structure, as listed in Alexandria.

Output
Energy: -55.599 eV/cell
Magnetic moment: 0.0 μB/f.u.
Energy relative to the elements, uncorrected: -982 meV per atom

a b c (Å): 9.4401 3.9962 9.6183
angles (deg): 90.00 104.50 90.00
Space group P2_1/m (No. 11)
One atom of each set of equivalent atoms:
1 Tm 0.1409 0.2500 0.1630 x2
2 Tl 0.3050 0.7500 0.7859 x2
3 Ge 0.3784 0.7500 0.4525 x2
4 Se 0.0749 0.2500 0.8590 x2
5 Se 0.1996 0.2500 0.4659 x2
6 Se 0.3607 0.7500 0.1869 x2

First-principles (GGA-PBE) data for a geometry-optimized Tm2Tl3GeSe6 structure, as listed in Alexandria.

Output
Energy: -106.694 eV/cell
DOS at the Fermi energy: 9.13 states/eV per cell
Magnetic moment: 0.0 μB/f.u.
Energy relative to the elements, uncorrected: -982 meV per atom

a b c (Å): 19.3306 4.0816 8.9940
angles (deg): 90.00 109.59 90.00
Space group C2/m (No. 12)
One atom of each set of equivalent atoms:
1 Tm 0.1659 0.0000 0.3345 x4
2 Tl 0.0000 0.5000 0.5000 x2
3 Tl 0.1677 0.0000 0.8404 x4
4 Ge 0.0000 0.5000 0.0000 x2
5 Se 0.0090 0.0000 0.2208 x4
6 Se 0.1535 0.5000 0.1095 x4
7 Se 0.1773 0.5000 0.5610 x4

First-principles (GGA-PBE) data for a geometry-optimized TmTlGeSe4 structure, as listed in Alexandria.

Output
Energy: -62.842 eV/cell
Magnetic moment: 0.0 μB/f.u.
Energy relative to the elements, uncorrected: -861 meV per atom

a b c (Å): 6.7161 7.0058 8.9759
angles (deg): 90.00 107.31 90.00
Space group P2_1/m (No. 11)
One atom of each set of equivalent atoms:
1 Tm 0.2279 0.2500 0.0536 x2
2 Tl 0.2407 0.2500 0.5617 x2
3 Ge 0.2288 0.7500 0.8279 x2
4 Se 0.0119 0.5099 0.2098 x4
5 Se 0.4367 0.7500 0.6590 x2
6 Se 0.4465 0.7500 0.0891 x2

First-principles (GGA-PBE) data for a geometry-optimized Tm6TlGe2Se3 structure, as listed in Alexandria.

Output
Energy: -126.292 eV/cell
DOS at the Fermi energy: 8.89 states/eV per cell
Magnetic moment: 0.0 μB/f.u.
Energy relative to the elements, uncorrected: -1189 meV per atom

a b c (Å): 18.1302 4.0869 8.3184
angles (deg): 90.00 106.50 90.00
Space group C2/m (No. 12)
One atom of each set of equivalent atoms:
1 Tm 0.0003 0.0000 0.2357 x4
2 Tm 0.1720 0.5000 0.0682 x4
3 Tm 0.1718 0.5000 0.5907 x4
4 Tl 0.0000 0.5000 0.5000 x2
5 Ge 0.1634 0.0000 0.8242 x4
6 Se 0.0000 0.5000 0.0000 x2
7 Se 0.1669 0.0000 0.3268 x4